{
  "formula": "CuReRh2",
  "functional": "meta-GGA SCAN",
  "state": "single point on PBEsol structure",
  "cell": [[1.3449, 0.7765, 8.5666], [-1.3449, 0.7765, 8.5666], [0.0000, -1.5530, 8.5666]],
  "species": ["Cu", "Re", "Rh", "Rh"],
  "fractional_positions": [[0.0000, 0.0000, 0.0000], [0.5000, 0.5000, 0.5000], [0.2504, 0.2504, 0.2504], [0.7496, 0.7496, 0.7496]],
  "energy_ev_per_fu": -153.96,
  "n_ef_per_ev_atom": 0.841,
  "ef_mev_per_atom": -30,
  "space_group": "R-3m (166)"
}

{
  "formula": "CuRe2Rh",
  "functional": "meta-GGA SCAN",
  "state": "single point on PBEsol structure",
  "cell": [[0.0000, 3.0202, 3.0202], [3.0202, 0.0000, 3.0202], [3.0202, 3.0202, 0.0000]],
  "species": ["Cu", "Re", "Re", "Rh"],
  "fractional_positions": [[0.0000, 0.0000, 0.0000], [0.5000, 0.5000, 0.5000], [0.7500, 0.7500, 0.7500], [0.2500, 0.2500, 0.2500]],
  "energy_ev_per_fu": -190.42,
  "relative_energy_mev_per_atom": 18,
  "n_ef_per_ev_atom": 0.473,
  "ef_mev_per_atom": 188,
  "space_group": "F-43m (216)"
}

{
  "formula": "CuRe2Rh",
  "functional": "meta-GGA SCAN",
  "state": "single point on PBEsol structure",
  "cell": [[2.6504, 0.0000, 0.0000], [0.0000, 2.6504, 0.0000], [0.0000, 0.0000, 7.7112]],
  "species": ["Cu", "Re", "Re", "Rh"],
  "fractional_positions": [[0.0000, 0.0000, 0.0000], [0.5000, 0.5000, 0.2457], [0.5000, 0.5000, 0.7543], [0.0000, 0.0000, 0.5000]],
  "energy_ev_per_fu": -190.49,
  "relative_energy_mev_per_atom": 0,
  "n_ef_per_ev_atom": 0.585,
  "ef_mev_per_atom": 170,
  "space_group": "P4/mmm (123)"
}

{
  "formula": "CuReRh2",
  "functional": "meta-GGA SCAN",
  "state": "single point on PBEsol structure",
  "cell": [[2.7287, 0.0000, 0.0000], [0.0000, 2.7287, 0.0000], [0.0000, 0.0000, 7.1417]],
  "species": ["Cu", "Re", "Rh", "Rh"],
  "fractional_positions": [[0.0000, 0.0000, 0.0000], [0.0000, 0.0000, 0.5000], [0.5000, 0.5000, 0.2476], [0.5000, 0.5000, 0.7524]],
  "energy_ev_per_fu": -154.19,
  "n_ef_per_ev_atom": 0.564,
  "ef_mev_per_atom": -88,
  "space_group": "P4/mmm (123)"
}

{
  "formula": "CuReRu",
  "functional": "meta-GGA SCAN",
  "state": "single point on PBEsol structure",
  "cell": [[-1.3877, 1.3877, 5.1727], [1.3877, -1.3877, 5.1727], [1.3877, 1.3877, -5.1727]],
  "species": ["Cu", "Re", "Ru"],
  "fractional_positions": [[0.0000, 0.0000, 0.0000], [0.6700, 0.6700, 0.0000], [0.3314, 0.3314, 0.0000]],
  "energy_ev_per_fu": -120.53,
  "relative_energy_mev_per_atom": 96,
  "n_ef_per_ev_atom": 0.805,
  "ef_mev_per_atom": 198,
  "space_group": "I4mm (107)"
}

{
  "formula": "CuRe2Ru",
  "functional": "meta-GGA SCAN",
  "state": "single point on PBEsol structure",
  "cell": [[3.0722, 0.0000, 0.0000], [0.0000, 3.0722, 0.0000], [0.0000, 0.0000, 5.7585]],
  "species": ["Cu", "Re", "Re", "Ru"],
  "fractional_positions": [[0.0000, 0.0000, 0.0000], [0.0000, 0.0000, 0.4942], [0.5000, 0.5000, 0.2390], [0.5000, 0.5000, 0.7746]],
  "energy_ev_per_fu": -191.21,
  "n_ef_per_ev_atom": 0.826,
  "ef_mev_per_atom": 252,
  "space_group": "P4mm (99)"
}

{
  "formula": "CuReRu",
  "functional": "meta-GGA SCAN",
  "state": "single point on PBEsol structure",
  "cell": [[-1.3596, 1.8428, 3.9355], [1.3596, -1.8428, 3.9355], [1.3596, 1.8428, -3.9355]],
  "species": ["Cu", "Re", "Ru"],
  "fractional_positions": [[0.0000, 0.0000, 0.0000], [0.6679, 0.6679, 0.0000], [0.3316, 0.3316, 0.0000]],
  "energy_ev_per_fu": -120.82,
  "relative_energy_mev_per_atom": 0,
  "n_ef_per_ev_atom": 0.664,
  "ef_mev_per_atom": 102,
  "space_group": "Imm2 (44)"
}

{
  "formula": "ZnCu2ReS",
  "functional": "meta-GGA SCAN",
  "state": "single point on PBEsol structure",
  "cell": [[4.7695, 0.0000, 0.0000], [0.0000, 4.7695, 0.0000], [0.0000, 0.0000, 4.3021]],
  "species": ["Zn", "Cu", "Cu", "Re", "S"],
  "fractional_positions": [[0.0000, 0.0000, 0.0000], [0.0000, 0.5000, 0.5000], [0.5000, 0.0000, 0.5000], [0.5000, 0.5000, 0.5000], [0.5000, 0.5000, 0.0000]],
  "energy_ev_per_fu": -119.89,
  "n_ef_per_ev_atom": 0.822,
  "raw_formation_energy_ev_per_atom": 0.949,
  "space_group": "P4/mmm (123)"
}

{
  "formula": "CuRe3Sb",
  "functional": "meta-GGA SCAN",
  "state": "single point on PBEsol structure",
  "cell": [[4.4618, 0.0000, 0.0000], [0.0000, 4.4618, 0.0000], [0.0000, 0.0000, 4.4618]],
  "species": ["Cu", "Re", "Re", "Re", "Sb"],
  "fractional_positions": [[0.0000, 0.0000, 0.0000], [0.0000, 0.0000, 0.5000], [0.0000, 0.5000, 0.0000], [0.5000, 0.0000, 0.0000], [0.5000, 0.5000, 0.5000]],
  "energy_ev_per_fu": -255.70,
  "n_ef_per_ev_atom": 1.256,
  "raw_formation_energy_ev_per_atom": 2.011,
  "space_group": "Pm-3m (221)"
}

{
  "formula": "CuRe2SbW",
  "functional": "meta-GGA SCAN",
  "state": "single point on PBEsol structure",
  "cell": [[4.7175, 0.0000, 0.0000], [0.0000, 4.7175, 0.0000], [0.0000, 0.0000, 5.0280]],
  "species": ["Cu", "Re", "Re", "Sb", "W"],
  "fractional_positions": [[0.0000, 0.0000, 0.0000], [0.0000, 0.5000, 0.5000], [0.5000, 0.0000, 0.5000], [0.5000, 0.5000, 0.0000], [0.5000, 0.5000, 0.5000]],
  "energy_ev_per_fu": -253.21,
  "n_ef_per_ev_atom": 0.744,
  "raw_formation_energy_ev_per_atom": 2.227,
  "space_group": "P4/mmm (123)"
}

{
  "formula": "Sc2CuRe",
  "functional": "meta-GGA SCAN",
  "state": "single point on PBEsol structure",
  "cell": [[1.5520, 0.8960, 8.3228], [-1.5520, 0.8960, 8.3228], [0.0000, -1.7921, 8.3228]],
  "species": ["Sc", "Sc", "Cu", "Re"],
  "fractional_positions": [[0.2474, 0.2474, 0.2474], [0.7526, 0.7526, 0.7526], [0.0000, 0.0000, 0.0000], [0.5000, 0.5000, 0.5000]],
  "energy_ev_per_fu": -114.26,
  "n_ef_per_ev_atom": 0.851,
  "ef_mev_per_atom": 129,
  "space_group": "R-3m (166)"
}

{
  "formula": "ScCu2Re2",
  "functional": "meta-GGA SCAN",
  "state": "single point on PBEsol structure",
  "cell": [[-1.9047, 1.9047, 5.5196], [1.9047, -1.9047, 5.5196], [1.9047, 1.9047, -5.5196]],
  "species": ["Sc", "Cu", "Cu", "Re", "Re"],
  "fractional_positions": [[0.0000, 0.0000, 0.0000], [0.2500, 0.7500, 0.5000], [0.7500, 0.2500, 0.5000], [0.3974, 0.3974, 0.0000], [0.6026, 0.6026, 0.0000]],
  "energy_ev_per_fu": -185.08,
  "n_ef_per_ev_atom": 0.522,
  "ef_mev_per_atom": 351,
  "space_group": "I4/mmm (139)"
}